Entry 1:
Zn2BiAu2: single point on PBEsol structure, meta-GGA SCAN.

## Properties
- energy above the lowest structure with this stoichiometry (eV per atom) = 0.0722
- Fermi-level density of states (states/eV per atom) = 0.23
- total magnetization (Bohr magnetons per cell) = 0.0
- E_form (meV per atom) = -76
- calculated total energy (eV per atom) = -48.860

a b c (Å): 7.8143 7.8143 3.0075
angles (deg): 90.00 90.00 90.00
Element x y z (fractional)
1 Zn 0.1557 0.3443 0.0000
2 Zn 0.3443 0.8443 0.0000
3 Zn 0.6557 0.1557 0.0000
4 Zn 0.8443 0.6557 0.0000
5 Bi 0.0000 0.0000 0.5000
6 Bi 0.5000 0.5000 0.5000
7 Au 0.1381 0.6381 0.5000
8 Au 0.3619 0.1381 0.5000
9 Au 0.6381 0.8619 0.5000
10 Au 0.8619 0.3619 0.5000

Entry 2:
Zn2BiAu2: single point on PBEsol structure, meta-GGA SCAN.

## Properties
- energy above the lowest structure with this stoichiometry (eV per atom) = 0.0000
- Fermi-level density of states (states/eV per atom) = 0.35
- total magnetization (Bohr magnetons per cell) = 0.0
- E_form (meV per atom) = -148
- calculated total energy (eV per atom) = -48.933

a b c (Å): 6.9534 6.9534 6.9534
angles (deg): 147.87 147.87 46.08
Element x y z (fractional)
1 Zn 0.2500 0.7500 0.5000
2 Zn 0.7500 0.2500 0.5000
3 Bi 0.0000 0.0000 0.0000
4 Au 0.3887 0.3887 0.0000
5 Au 0.6113 0.6113 0.0000

Q: Look up the energy above the lowest structure with this stoichiometry of the second one.
A: 0.0000 eV per atom